TaBiSb2Te: relaxed, PBE.

```
TaBiSb2Te
1.0
-2.600 -0.662 -4.744
-0.584 -5.314 1.061
-4.619 0.986 2.394
Sb Bi Te Ta
2 1 1 1
Cartesian
-1.300 -0.331 -2.372
-0.292 -2.657 0.531
-3.901 -2.495 -0.645
-2.309 0.493 1.197
0.000 0.000 0.000
```

- total energy (eV per atom) = -4.97
- energy above the lowest structure with this stoichiometry (meV/atom) = 0
- size of the total moment (μB per cell) = 0.00